GaPbCl3 | the Alexandria database | GGA-PBE | relaxed; VASP energy = -67.70 eV/cell; total magnetization = 0.000 Bohr magnetons per cell; E_form (uncorrected) = -0.93 eV per atom
1.0
7.684 0.000 1.924
0.000 7.303 0.000
2.066 0.000 11.154
Cl Ga Pb
12 4 4
direct
0.259 0.437 0.273 Cl
0.735 0.400 0.396 Cl
0.778 0.399 0.077 Cl
0.722 0.899 0.423 Cl
0.741 0.563 0.727 Cl
0.278 0.101 0.577 Cl
0.222 0.601 0.923 Cl
0.765 0.900 0.104 Cl
0.235 0.100 0.896 Cl
0.241 0.937 0.227 Cl
0.265 0.600 0.604 Cl
0.759 0.063 0.773 Cl
0.010 0.810 0.564 Ga
0.490 0.310 0.936 Ga
0.990 0.190 0.436 Ga
0.510 0.690 0.064 Ga
0.538 0.171 0.297 Pb
0.962 0.671 0.203 Pb
0.038 0.329 0.797 Pb
0.462 0.829 0.703 Pb